{
  "formula": "CsKSnS2",
  "functional": "PBE-GGA",
  "state": "relaxed",
  "cell": [[4.1642, 0.0000, 0.0000], [-2.0821, 7.2181, -0.6668], [0.0000, -2.5552, 12.4231]],
  "species": ["Sn", "Sn", "S", "S", "S", "S", "Cs", "Cs", "K", "K"],
  "frac_coords": [[0.0394, 0.0788, 0.2097], [0.9606, 0.9212, 0.7903], [0.4147, 0.8294, 0.6560], [0.5853, 0.1706, 0.3440], [0.1387, 0.2775, 0.8413], [0.8613, 0.7225, 0.1587], [0.6614, 0.3228, 0.6370], [0.3386, 0.6772, 0.3630], [0.3536, 0.7072, 0.9710], [0.6464, 0.2928, 0.0290]],
  "e_form_raw_ev_per_atom": -0.88,
  "sg": "C2/m"
}